Here is an optimized crystal structure of LiTbIrPb from Alexandria. Energies are from PBE-GGA.

The total DFT energy (no corrections) comes out at -0.1925 hartree per atom.

Unit cell a=4.8176 b=4.8176 c=4.8176 alpha=60.00 beta=60.00 gamma=60.00
Atoms (fractional coordinates):
Tb  0.7500  0.7500  0.7500
Pb  0.2500  0.2500  0.2500
Li  0.0000  0.0000  0.0000
Ir  0.5000  0.5000  0.5000

---

Here is an optimized crystal structure of LiTcIrPb2 from Alexandria. Energies are from PBE-GGA.

The total DFT energy (no corrections) comes out at -0.1766 hartree per atom.

Unit cell a=5.2129 b=4.5651 c=5.2129 alpha=90.00 beta=90.00 gamma=90.00
Atoms (fractional coordinates):
Pb  0.5000  0.0000  0.0000
Pb  0.0000  0.0000  0.5000
Ir  0.0000  0.0000  0.0000
Li  0.0000  0.5000  0.0000
Tc  0.5000  0.5000  0.5000

---

Here is an optimized crystal structure of Li2TcIrPb from Alexandria. Energies are from PBE-GGA.

The total DFT energy (no corrections) comes out at -0.1627 hartree per atom.

Unit cell a=4.5556 b=5.1730 c=4.5556 alpha=90.00 beta=90.00 gamma=90.00
Atoms (fractional coordinates):
Pb  0.0000  0.5000  0.0000
Li  0.0000  0.0000  0.5000
Li  0.5000  0.0000  0.0000
Ir  0.0000  0.0000  0.0000
Tc  0.5000  0.5000  0.5000

---

Here is an optimized crystal structure of LiThIrPb from Alexandria. Energies are from PBE-GGA.

The total DFT energy (no corrections) comes out at -0.2188 hartree per atom.

Unit cell a=4.9111 b=4.9111 c=4.9111 alpha=60.00 beta=60.00 gamma=60.00
Atoms (fractional coordinates):
Li  0.0000  0.0000  0.0000
Th  0.7500  0.7500  0.7500
Pb  0.2500  0.2500  0.2500
Ir  0.5000  0.5000  0.5000

---

Here is an optimized crystal structure of LiTlIrPb from Alexandria. Energies are from PBE-GGA.

The total DFT energy (no corrections) comes out at -0.1537 hartree per atom.

Unit cell a=4.8008 b=4.8008 c=4.8008 alpha=60.00 beta=60.00 gamma=60.00
Atoms (fractional coordinates):
Ir  0.0000  0.0000  0.0000
Li  0.5000  0.5000  0.5000
Pb  0.2500  0.2500  0.2500
Tl  0.7500  0.7500  0.7500

---

Here is an optimized crystal structure of LiTmIrPb from Alexandria. Energies are from PBE-GGA.

The total DFT energy (no corrections) comes out at -0.1917 hartree per atom.

Unit cell a=4.7730 b=4.7730 c=4.7730 alpha=60.00 beta=60.00 gamma=60.00
Atoms (fractional coordinates):
Li  0.5000  0.5000  0.5000
Pb  0.7500  0.7500  0.7500
Ir  0.0000  0.0000  0.0000
Tm  0.2500  0.2500  0.2500

---

Here is an optimized crystal structure of LiYIrPb from Alexandria. Energies are from PBE-GGA.

The total DFT energy (no corrections) comes out at -0.2094 hartree per atom.

Unit cell a=4.8137 b=4.8137 c=4.8137 alpha=60.00 beta=60.00 gamma=60.00
Atoms (fractional coordinates):
Y  0.0000  0.0000  0.0000
Li  0.7500  0.7500  0.7500
Ir  0.2500  0.2500  0.2500
Pb  0.5000  0.5000  0.5000

---

Here is an optimized crystal structure of Li2IrPd2 from Alexandria. Energies are from PBE-GGA.

The total DFT energy (no corrections) comes out at -0.1758 hartree per atom.

Unit cell a=6.9051 b=6.9051 c=2.7494 alpha=90.00 beta=90.00 gamma=90.00
Atoms (fractional coordinates):
Li  0.6169  0.1169  0.0000
Li  0.1169  0.3831  0.0000
Li  0.3831  0.8831  0.0000
Li  0.8831  0.6169  0.0000
Pd  0.3138  0.1862  0.5000
Pd  0.8138  0.3138  0.5000
Pd  0.6862  0.8138  0.5000
Pd  0.1862  0.6862  0.5000
Ir  0.5000  0.5000  0.0000
Ir  0.0000  0.0000  0.0000

---

Here is an optimized crystal structure of Li6Ir2Pd from Alexandria. Energies are from PBE-GGA.

The total DFT energy (no corrections) comes out at -0.1497 hartree per atom.

Unit cell a=2.5372 b=7.4472 c=7.4472 alpha=60.00 beta=90.02 gamma=90.02
Atoms (fractional coordinates):
Li  0.5012  0.3358  0.0000
Li  0.5012  0.0000  0.3358
Li  0.5000  0.6642  0.3358
Li  0.4988  0.0000  0.6642
Li  0.4988  0.6642  0.0000
Li  0.5000  0.3358  0.6642
Ir  0.0000  0.3333  0.3333
Ir  0.0000  0.6667  0.6667
Pd  0.0000  0.0000  0.0000

---

Here is an optimized crystal structure of Li3IrPd from Alexandria. Energies are from PBE-GGA.

The total DFT energy (no corrections) comes out at -0.1222 hartree per atom.

Unit cell a=4.3293 b=4.3293 c=4.3293 alpha=90.00 beta=90.00 gamma=90.00
Atoms (fractional coordinates):
Li  0.0000  0.5000  0.0000
Li  0.5000  0.0000  0.0000
Li  0.0000  0.0000  0.5000
Pd  0.0000  0.0000  0.0000
Ir  0.5000  0.5000  0.5000

---

Here is an optimized crystal structure of Li2IrPd from Alexandria. Energies are from PBE-GGA.

The total DFT energy (no corrections) comes out at -0.1551 hartree per atom.

Unit cell a=6.6192 b=6.6192 c=5.3515 alpha=51.80 beta=51.80 gamma=90.00
Atoms (fractional coordinates):
Li  0.8750  0.8693  0.7500
Li  0.3750  0.3807  0.7500
Li  0.6193  0.1250  0.2500
Li  0.1307  0.6250  0.2500
Pd  0.5000  0.5000  0.0000
Pd  0.2500  0.7500  0.5000
Ir  0.7500  0.2500  0.5000
Ir  0.0000  0.0000  0.0000

---

Here is an optimized crystal structure of Li2IrPd2 from Alexandria. Energies are from PBE-GGA.

The total DFT energy (no corrections) comes out at -0.1708 hartree per atom.

Unit cell a=7.1234 b=7.1234 c=2.7184 alpha=90.00 beta=90.00 gamma=90.00
Atoms (fractional coordinates):
Pd  0.3608  0.8608  0.0000
Pd  0.8608  0.6392  0.0000
Pd  0.1392  0.3608  0.0000
Pd  0.6392  0.1392  0.0000
Ir  0.0000  0.0000  0.0000
Ir  0.5000  0.5000  0.0000
Li  0.3381  0.1619  0.5000
Li  0.1619  0.6619  0.5000
Li  0.6619  0.8381  0.5000
Li  0.8381  0.3381  0.5000